Crystalline LiBe2Al2 at its relaxed geometry, computed with PBE.

Lattice parameters (Å, degrees): 7.336 7.336 2.536 90.00 90.00 90.00
Fractional positions:
Li1 0.000 0.000 0.000
Li2 0.500 0.500 0.000
Be1 0.159 0.341 0.500
Be2 0.341 0.841 0.500
Be3 0.659 0.159 0.500
Be4 0.841 0.659 0.500
Al1 0.137 0.637 0.000
Al2 0.363 0.137 0.000
Al3 0.637 0.863 0.000
Al4 0.863 0.363 0.000

Output
- SG: No. 127
- Polymorph energy (0 for the lowest one): 30 meV per atom
- Total magnetic moment: 0.00 μB/cell
- DFT total energy: -3.21 eV per atom